## GeSbSe3 (PBE-GGA)

Data for an optimized crystal structure of GeSbSe3.

Lattice parameters (Å, degrees): 4.994 4.994 4.994 90.00 90.00 90.00
Sites, in units of the cell vectors:
Se  0.000  0.500  0.000
Se  0.500  0.000  0.000
Se  0.000  0.000  0.500
Sb  0.500  0.500  0.500
Ge  0.000  0.000  0.000

Theoretical density = 5.75 Mg/m³
VASP energy = -17.59 eV per cell
SG = No. 221